# TaTi2AgW, optimized geometry, DFT PBE-GGA
# DOS(E_F)	6.81	states/eV/cell
# electronic total energy	-34.5	eV for the cell shown
# total moment	0.0	μB per cell
# V	106	Å³/cell
# DFT formation energy	1.787	eV/atom
data_TaTi2AgW
_cell_length_a 4.601
_cell_length_b 4.601
_cell_length_c 5.004
_cell_angle_alpha 90.00
_cell_angle_beta 90.00
_cell_angle_gamma 90.00
_space_group_name_H-M_alt 'P 4/m m m'
_space_group_IT_number 123
_space_group_name_Hall '-P 4 2'
loop_
_atom_site_label
_atom_site_type_symbol
_atom_site_fract_x
_atom_site_fract_y
_atom_site_fract_z
Ta1 Ta 0.000 0.000 0.000
Ti1 Ti 0.000 0.500 0.500
Ag1 Ag 0.000 0.000 0.500
W1 W 0.500 0.500 0.000